# 1
{"formula": "Ba2YOsN6", "functional": "PBE-GGA", "state": "optimized geometry", "lattice": [[-3.017, 3.017, 4.268], [3.017, -3.017, 4.268], [3.017, 3.017, -4.268]], "species": ["Ba", "Ba", "Y", "Os", "N", "N", "N", "N", "N", "N"], "frac_coords": [[0.250, 0.750, 0.500], [0.750, 0.250, 0.500], [0.000, 0.000, 0.000], [0.500, 0.500, 0.000], [0.266, 0.277, 0.543], [0.271, 0.271, 0.000], [0.277, 0.734, 0.011], [0.723, 0.266, 0.989], [0.729, 0.729, 0.000], [0.734, 0.723, 0.457]], "space_group": "I4/m, No. 87", "total_energy_ev_per_fu": -71.8, "magnetic_moment_mub_per_cell": 0.06, "rho_g_cm3": 6.8}



# 2
{"formula": "Ba2YOsN6", "functional": "PBE-GGA", "state": "optimized geometry", "lattice": [[0.000, 4.261, 4.261], [4.261, 0.000, 4.261], [4.261, 4.261, 0.000]], "species": ["Ba", "Ba", "Y", "Os", "N", "N", "N", "N", "N", "N"], "frac_coords": [[0.250, 0.250, 0.250], [0.750, 0.750, 0.750], [0.000, 0.000, 0.000], [0.500, 0.500, 0.500], [0.271, 0.271, 0.729], [0.271, 0.729, 0.271], [0.271, 0.729, 0.729], [0.729, 0.271, 0.271], [0.729, 0.271, 0.729], [0.729, 0.729, 0.271]], "space_group": "Fm-3m, No. 225", "total_energy_ev_per_fu": -71.8, "magnetic_moment_mub_per_cell": 0.05, "rho_g_cm3": 6.8}



# 3
{"formula": "Ba2ZnOsN6", "functional": "PBE-GGA", "state": "optimized geometry", "lattice": [[-2.884, 2.884, 4.115], [2.884, -2.884, 4.115], [2.884, 2.884, -4.115]], "species": ["Ba", "Ba", "Zn", "Os", "N", "N", "N", "N", "N", "N"], "frac_coords": [[0.250, 0.750, 0.500], [0.750, 0.250, 0.500], [0.000, 0.000, 0.000], [0.500, 0.500, 0.000], [0.259, 0.738, 0.997], [0.262, 0.259, 0.520], [0.262, 0.262, 0.000], [0.738, 0.738, 0.000], [0.738, 0.741, 0.480], [0.741, 0.262, 0.003]], "space_group": "I4/m, No. 87", "total_energy_ev_per_fu": -61.2, "magnetic_moment_mub_per_cell": 0.08, "rho_g_cm3": 7.4}



# 4
{"formula": "Ba2ZnOsN6", "functional": "PBE-GGA", "state": "optimized geometry", "lattice": [[-2.889, 2.889, 4.105], [2.889, -2.889, 4.105], [2.889, 2.889, -4.105]], "species": ["Ba", "Ba", "Zn", "Os", "N", "N", "N", "N", "N", "N"], "frac_coords": [[0.250, 0.750, 0.500], [0.750, 0.250, 0.500], [0.000, 0.000, 0.000], [0.500, 0.500, 0.000], [0.261, 0.261, 0.521], [0.261, 0.739, 0.000], [0.262, 0.262, 0.000], [0.738, 0.738, 0.000], [0.739, 0.261, 0.000], [0.739, 0.739, 0.479]], "space_group": "I4/mmm, No. 139", "total_energy_ev_per_fu": -61.2, "magnetic_moment_mub_per_cell": 0.08, "rho_g_cm3": 7.4}



# 5
{"formula": "Ba2ZnOsN6", "functional": "PBE-GGA", "state": "optimized geometry", "lattice": [[5.012, -2.889, 0.000], [5.012, 2.889, 0.000], [-3.336, 0.000, 4.725]], "species": ["Ba", "Ba", "Zn", "Os", "N", "N", "N", "N", "N", "N"], "frac_coords": [[0.250, 0.250, 0.250], [0.750, 0.750, 0.750], [0.000, 0.000, 0.500], [0.500, 0.500, 0.000], [0.260, 0.738, 0.238], [0.261, 0.261, 0.759], [0.262, 0.740, 0.762], [0.738, 0.260, 0.238], [0.739, 0.739, 0.241], [0.740, 0.262, 0.762]], "space_group": "C2/m, No. 12", "total_energy_ev_per_fu": -61.2, "magnetic_moment_mub_per_cell": 0.07, "rho_g_cm3": 7.5}



# 6
{"formula": "Ba2ZrOsN4", "functional": "PBE-GGA", "state": "optimized geometry", "lattice": [[4.031, 0.000, 0.000], [0.000, 4.031, 0.000], [0.000, 0.000, 8.375]], "species": ["Ba", "Ba", "Zr", "Os", "N", "N", "N", "N"], "frac_coords": [[0.000, 0.000, 0.000], [0.500, 0.500, 0.308], [0.500, 0.500, 0.702], [0.000, 0.000, 0.558], [0.000, 0.000, 0.311], [0.000, 0.500, 0.580], [0.500, 0.000, 0.580], [0.500, 0.500, 0.938]], "space_group": "P4mm, No. 99", "total_energy_ev_per_fu": -61.1, "magnetic_moment_mub_per_cell": 0.00, "rho_g_cm3": 7.5}



# 7
{"formula": "Ba3Pd4N4", "functional": "PBE-GGA", "state": "optimized geometry", "lattice": [[3.837, 0.000, 0.000], [0.000, 3.880, 0.000], [0.000, 0.000, 14.217]], "species": ["Ba", "Ba", "Ba", "Pd", "Pd", "Pd", "Pd", "N", "N", "N", "N"], "frac_coords": [[0.000, 0.000, 0.000], [0.500, 0.000, 0.311], [0.500, 0.000, 0.689], [0.000, 0.000, 0.500], [0.000, 0.500, 0.164], [0.000, 0.500, 0.836], [0.500, 0.500, 0.500], [0.000, 0.500, 0.413], [0.000, 0.500, 0.587], [0.500, 0.500, 0.156], [0.500, 0.500, 0.844]], "space_group": "Pmmm, No. 47", "total_energy_ev_per_fu": -59.4, "rho_g_cm3": 7.0}



# 8
{"formula": "Ba2ZrPdN4", "functional": "PBE-GGA", "state": "optimized geometry", "lattice": [[4.126, 0.000, 0.000], [0.000, 4.126, 0.000], [0.000, 0.000, 8.266]], "species": ["Ba", "Ba", "Zr", "Pd", "N", "N", "N", "N"], "frac_coords": [[0.000, 0.000, 0.000], [0.500, 0.500, 0.320], [0.500, 0.500, 0.722], [0.000, 0.000, 0.553], [0.000, 0.000, 0.306], [0.000, 0.500, 0.622], [0.500, 0.000, 0.622], [0.500, 0.500, 0.962]], "space_group": "P4mm, No. 99", "total_energy_ev_per_fu": -54.1, "magnetic_moment_mub_per_cell": 0.00, "rho_g_cm3": 6.2}